A relaxed structure of Zn2Pd2Pt3, computed with GGA-PBE.

Values from the calculation:
magnetization	0.00	Bohr magnetons per cell
space group	C2/m (12)
polymorph energy (0 for the lowest one)	0	meV/atom
ΔE_f	-339.9	meV/atom
final energy	-33.44	eV/cell

abc: 4.8444 4.8444 6.0628
angles: 95.59 95.59 47.95
Last column: nearest neighbours and their distance in Å.
Positions (direct):
Zn  0.1385  0.1385  0.4217  4 Pt 2.67-2.76, 5 Pd 2.69-2.81, 3 Zn 2.72-2.88
Zn  0.8615  0.8615  0.5783  4 Pt 2.67-2.76, 5 Pd 2.69-2.81, 3 Zn 2.72-2.88
Pd  0.4202  0.4202  0.2952  5 Zn 2.69-2.81, 1 Pd 2.72, 6 Pt 2.77-2.85
Pd  0.5798  0.5798  0.7048  5 Zn 2.69-2.81, 1 Pd 2.72, 6 Pt 2.77-2.85
Pt  0.0000  0.0000  0.0000  2 Zn 2.72, 4 Pd 2.80, 6 Pt 2.81
Pt  0.2884  0.2884  0.8447  3 Zn 2.67-2.76, 4 Pd 2.77-2.85, 5 Pt 2.81-2.86
Pt  0.7116  0.7116  0.1553  3 Zn 2.67-2.76, 4 Pd 2.77-2.85, 5 Pt 2.81-2.86

A relaxed structure of Zn4PdPt, computed with GGA-PBE.

Values from the calculation:
magnetization	0.00	Bohr magnetons per cell
space group	F-43m (216)
polymorph energy (0 for the lowest one)	148	meV/atom
ΔE_f	-261.7	meV/atom
final energy	-17.90	eV/cell

abc: 4.9559 4.9559 4.9559
angles: 60.00 60.00 60.00
Last column: nearest neighbours and their distance in Å.
Positions (direct):
Zn  0.1250  0.1250  0.1250  6 Zn 2.48
Zn  0.1250  0.1250  0.6251  6 Zn 2.48
Zn  0.1250  0.6251  0.1250  6 Zn 2.48
Zn  0.6251  0.1250  0.1250  6 Zn 2.48
Pd  0.7500  0.7500  0.7500  12 Zn 2.91, 4 Pt 3.03
Pt  0.5000  0.5000  0.5000  12 Zn 2.91, 4 Pd 3.03

A relaxed structure of ZnPd2Pt7, computed with GGA-PBE.

Values from the calculation:
magnetization	0.00	Bohr magnetons per cell
space group	Cmmm (65)
ΔE_f	373.1	meV/atom
final energy	-50.21	eV/cell

abc: 7.6108 7.6108 4.0727
angles: 90.00 90.00 123.56
Last column: nearest neighbours and their distance in Å.
Positions (direct):
Zn  0.0000  0.0000  0.0000  2 Pt 2.49
Pd  0.3028  0.6972  0.5000  5 Pt 2.57-2.64
Pd  0.6972  0.3028  0.5000  5 Pt 2.57-2.64
Pt  0.0855  0.2893  0.5000  1 Pd 2.59, 5 Pt 2.63-2.73, 2 Zn 2.80
Pt  0.1858  0.8142  0.0000  1 Zn 2.49, 2 Pd 2.57, 4 Pt 2.69
Pt  0.2893  0.0855  0.5000  1 Pd 2.59, 5 Pt 2.63-2.73, 2 Zn 2.80
Pt  0.5000  0.5000  0.5000  4 Pt 2.63, 2 Pd 2.64
Pt  0.7107  0.9145  0.5000  1 Pd 2.59, 5 Pt 2.63-2.73, 2 Zn 2.80
Pt  0.8142  0.1858  0.0000  1 Zn 2.49, 2 Pd 2.57, 4 Pt 2.69
Pt  0.9145  0.7107  0.5000  1 Pd 2.59, 5 Pt 2.63-2.73, 2 Zn 2.80

A relaxed structure of Zn2Pd4Pt5, computed with GGA-PBE.

Values from the calculation:
magnetization	0.00	Bohr magnetons per cell
space group	P2/m (10)
polymorph energy (0 for the lowest one)	73	meV/atom
ΔE_f	-166.6	meV/atom
final energy	-55.36	eV/cell

abc: 6.8732 2.7534 8.9830
angles: 90.00 94.58 90.00
Last column: nearest neighbours and their distance in Å.
Positions (direct):
Zn  0.0664  0.0000  0.1391  2 Pt 2.54-2.56, 3 Zn 2.59-2.75, 6 Pd 2.70-2.73
Zn  0.9336  0.0000  0.8609  2 Pt 2.54-2.56, 3 Zn 2.59-2.75, 6 Pd 2.70-2.73
Pd  0.1697  0.5000  0.3918  2 Zn 2.70, 2 Pd 2.75, 8 Pt 2.76-2.96
Pd  0.2684  0.5000  0.9440  4 Zn 2.70-2.73, 2 Pd 2.75, 6 Pt 2.83-2.86
Pd  0.7316  0.5000  0.0560  4 Zn 2.70-2.73, 2 Pd 2.75, 6 Pt 2.83-2.86
Pd  0.8303  0.5000  0.6082  2 Zn 2.70, 2 Pd 2.75, 8 Pt 2.76-2.96
Pt  0.1852  0.0000  0.6678  1 Zn 2.54, 4 Pt 2.73-2.78, 4 Pd 2.82-2.83
Pt  0.4364  0.0000  0.1984  1 Zn 2.56, 4 Pt 2.71-2.78, 4 Pd 2.83-2.84
Pt  0.5000  0.0000  0.5000  6 Pt 2.71-2.75, 4 Pd 2.76
Pt  0.5636  0.0000  0.8016  1 Zn 2.56, 4 Pt 2.71-2.78, 4 Pd 2.83-2.84
Pt  0.8148  0.0000  0.3322  1 Zn 2.54, 4 Pt 2.73-2.78, 4 Pd 2.82-2.83

A relaxed structure of ZnPdPt, computed with GGA-PBE.

Values from the calculation:
magnetization	0.00	Bohr magnetons per cell
space group	Ima2 (46)
polymorph energy (0 for the lowest one)	103	meV/atom
ΔE_f	-325.1	meV/atom
final energy	-80.90	eV/cell

abc: 7.4865 7.4865 7.4865
angles: 121.03 83.98 126.12
Last column: nearest neighbours and their distance in Å.
Positions (direct):
Zn  0.1712  0.0204  0.1916  3 Pt 2.52-2.58, 4 Pd 2.61-2.68
Zn  0.1712  0.4796  0.6507  3 Pt 2.52-2.58, 4 Pd 2.61-2.68
Zn  0.4359  0.7517  0.1842  6 Pt 2.54-2.65, 2 Pd 2.57-2.77
Zn  0.5675  0.2517  0.8158  6 Pt 2.54-2.65, 2 Pd 2.57-2.77
Zn  0.8288  0.5204  0.3493  3 Pt 2.52-2.58, 4 Pd 2.61-2.68
Zn  0.8288  0.9796  0.8084  3 Pt 2.52-2.58, 4 Pd 2.61-2.68
Pd  0.0051  0.4847  0.0204  4 Zn 2.57-2.77
Pd  0.1121  0.0493  0.5628  4 Zn 2.65-2.68, 6 Pt 2.80-2.83
Pd  0.4644  0.9847  0.9796  4 Zn 2.57-2.77
Pd  0.4864  0.5493  0.4372  4 Zn 2.65-2.68, 6 Pt 2.80-2.83
Pd  0.8960  0.1733  0.2228  5 Zn 2.61-2.89, 2 Pt 2.86
Pd  0.9505  0.6733  0.7772  5 Zn 2.61-2.89, 2 Pt 2.86
Pt  0.2555  0.2555  0.0000  4 Zn 2.58-2.59, 2 Pd 2.80
Pt  0.2555  0.7555  0.5000  4 Zn 2.58-2.59, 2 Pd 2.80
Pt  0.5251  0.2016  0.4425  4 Zn 2.52-2.65, 2 Pt 2.75-2.81, 1 Pd 2.80
Pt  0.5251  0.5826  0.8235  4 Zn 2.52-2.65, 2 Pt 2.75-2.81, 1 Pd 2.80
Pt  0.7591  0.0826  0.5575  4 Zn 2.52-2.65, 2 Pt 2.75-2.81, 1 Pd 2.80
Pt  0.7591  0.7016  0.1765  4 Zn 2.52-2.65, 2 Pt 2.75-2.81, 1 Pd 2.80

A relaxed structure of Zn2PdPt6, computed with GGA-PBE.

Values from the calculation:
magnetization	0.00	Bohr magnetons per cell
space group	C2/m (12)
polymorph energy (0 for the lowest one)	0	meV/atom
ΔE_f	-260.4	meV/atom
final energy	-46.33	eV/cell

abc: 4.8698 4.8698 6.7584
angles: 90.09 90.09 120.93
Last column: nearest neighbours and their distance in Å.
Positions (direct):
Zn  0.1734  0.1734  0.1722  1 Pd 2.71, 10 Pt 2.74-2.87, 1 Zn 2.86
Zn  0.8266  0.8266  0.8278  1 Pd 2.71, 10 Pt 2.74-2.87, 1 Zn 2.86
Pd  0.5000  0.5000  0.5000  2 Zn 2.71, 10 Pt 2.78-2.83
Pt  0.1623  0.4862  0.8384  4 Zn 2.74-2.87, 7 Pt 2.74-2.84, 1 Pd 2.80
Pt  0.1659  0.8341  0.5000  2 Zn 2.75, 7 Pt 2.76-2.84, 3 Pd 2.78-2.83
Pt  0.4862  0.1623  0.8384  4 Zn 2.74-2.87, 7 Pt 2.74-2.84, 1 Pd 2.80
Pt  0.5138  0.8377  0.1616  4 Zn 2.74-2.87, 7 Pt 2.74-2.84, 1 Pd 2.80
Pt  0.8341  0.1659  0.5000  2 Zn 2.75, 7 Pt 2.76-2.84, 3 Pd 2.78-2.83
Pt  0.8377  0.5138  0.1616  4 Zn 2.74-2.87, 7 Pt 2.74-2.84, 1 Pd 2.80

A relaxed structure of Zn8PdPt3, computed with GGA-PBE.

Values from the calculation:
magnetization	0.00	Bohr magnetons per cell
space group	Fmmm (69)
ΔE_f	-332.4	meV/atom
final energy	-37.50	eV/cell

abc: 7.3141 7.2357 6.0032
angles: 66.32 64.95 48.73
Last column: nearest neighbours and their distance in Å.
Positions (direct):
Zn  0.1208  0.6219  0.8792  3 Pt 2.58-2.59, 1 Pd 2.59, 1 Zn 2.87
Zn  0.1276  0.6289  0.3711  3 Pt 2.58-2.59, 1 Pd 2.60, 1 Zn 2.88
Zn  0.3711  0.8724  0.1276  3 Pt 2.58-2.59, 1 Pd 2.60, 1 Zn 2.88
Zn  0.3781  0.8792  0.6219  3 Pt 2.58-2.59, 1 Pd 2.59, 1 Zn 2.87
Zn  0.6219  0.1208  0.3781  3 Pt 2.58-2.59, 1 Pd 2.59, 1 Zn 2.87
Zn  0.6289  0.1276  0.8724  3 Pt 2.58-2.59, 1 Pd 2.60, 1 Zn 2.88
Zn  0.8724  0.3711  0.6289  3 Pt 2.58-2.59, 1 Pd 2.60, 1 Zn 2.88
Zn  0.8792  0.3781  0.1208  3 Pt 2.58-2.59, 1 Pd 2.59, 1 Zn 2.87
Pd  0.5000  0.5000  0.5000  8 Zn 2.59-2.60
Pt  0.0000  0.0000  0.0000  8 Zn 2.58-2.59
Pt  0.2500  0.2500  0.2500  8 Zn 2.58-2.59
Pt  0.7500  0.7500  0.7500  8 Zn 2.58-2.59

A relaxed structure of Zn2Pd2Pt3, computed with GGA-PBE.

Values from the calculation:
magnetization	0.00	Bohr magnetons per cell
space group	Immm (71)
polymorph energy (0 for the lowest one)	73	meV/atom
ΔE_f	-266.9	meV/atom
final energy	-32.92	eV/cell

abc: 9.6538 9.6538 9.6538
angles: 163.59 155.17 29.91
Last column: nearest neighbours and their distance in Å.
Positions (direct):
Zn  0.1500  0.1500  0.0000  2 Pd 2.54, 5 Pt 2.66-2.71, 2 Zn 2.75
Zn  0.8500  0.8500  0.0000  2 Pd 2.54, 5 Pt 2.66-2.71, 2 Zn 2.75
Pd  0.4282  0.9282  0.5000  2 Zn 2.54, 3 Pd 2.68-2.75, 4 Pt 2.83
Pd  0.5718  0.0718  0.5000  2 Zn 2.54, 3 Pd 2.68-2.75, 4 Pt 2.83
Pt  0.0000  0.5000  0.5000  2 Pt 2.75, 8 Pd 2.83
Pt  0.2923  0.2923  0.0000  5 Zn 2.66-2.71, 6 Pt 2.75-2.95, 2 Pd 2.88
Pt  0.7077  0.7077  0.0000  5 Zn 2.66-2.71, 6 Pt 2.75-2.95, 2 Pd 2.88